[1]
Here is a relaxed structure of Ba4Al2O from the Alexandria database. Energies are from PBE.

The space group is I4/mmm (No. 139) and the conventional cell measures 5.547, 5.547 and 16.784 Å, with angles of 90.00, 90.00 and 90.00 degrees. The distinct sites, in fractional coordinates, are Ba at (0.000, 0.000, 0.168), Ba at (0.000, 0.500, 0.000), Al at (0.000, 0.000, 0.376) and O at (0.000, 0.000, 0.000).

For the formation energy from raw total energies, the calculation gives -0.6609 eV/atom. For the theoretical density, the calculation gives 3.98 Mg/m³. The raw total energy comes out at -0.260 Ry/atom.

[2]
Here is a relaxed structure of Ba3Al5O12 from the Alexandria database. Energies are from PBE.

The space group is Ia-3d (No. 230) and the conventional cell measures 12.875, 12.875 and 12.875 Å, with angles of 90.00, 90.00 and 90.00 degrees. The distinct sites, in fractional coordinates, are Ba at (0.000, 0.250, 0.125), Al at (0.000, 0.000, 0.000), Al at (0.000, 0.250, 0.375) and O at (0.036, 0.143, 0.960).

For the formation energy from raw total energies, the calculation gives -2.4941 eV/atom. For the theoretical density, the calculation gives 4.60 Mg/m³. The raw total energy comes out at -0.492 Ry/atom.

[3]
Here is a relaxed structure of BaAlO5 from the Alexandria database. Energies are from PBE.

The space group is P-1 (No. 2) and the conventional cell measures 5.653, 6.018 and 7.116 Å, with angles of 72.88, 89.08 and 79.60 degrees. The distinct sites, in fractional coordinates, are Ba at (0.227, 0.062, 0.231), Al at (0.147, 0.380, 0.661), O at (0.037, 0.703, 0.123), O at (0.038, 0.694, 0.529), O at (0.278, 0.046, 0.810), O at (0.336, 0.374, 0.875) and O at (0.373, 0.271, 0.506).

For the formation energy from raw total energies, the calculation gives -1.2436 eV/atom. For the theoretical density, the calculation gives 3.57 Mg/m³. The raw total energy comes out at -0.411 Ry/atom.

Question: The lowest formation energy from raw total energies belongs to which entry?
Answer: Ba3Al5O12